1.
Below is an optimized crystal structure of Mg4H5Ir, with properties calculated at the GGA-PBE level.

Geometry as POSCAR:
```
Mg4H5Ir
1.0
2.3304 -5.1610 0.0000
2.3304 5.1610 0.0000
-0.2311 0.0000 4.6974
Mg H Ir
4 5 1
Cartesian
2.3304 3.7366 0.0000
2.4046 1.5274 2.4737
2.4046 -1.5274 2.4737
2.3304 -3.7366 0.0000
1.1688 0.0000 3.6171
1.3002 0.0000 1.1803
2.4160 1.8871 4.6116
2.4160 -1.8871 4.6116
3.4941 0.0000 1.2408
0.0880 0.0000 2.3454
```

Output
Its space group is No. 8. For the energy above the most stable polymorph in this dataset, the calculation gives 0 meV per atom. The calculation puts the total magnetization at 0.0 μB per formula unit.

---

2.
Below is an optimized crystal structure of BaTeW2, with properties calculated at the GGA-PBE level.

Geometry as POSCAR:
```
BaTeW2
1.0
3.3892 0.0000 0.0000
0.0000 4.2308 0.0000
-0.0158 0.0000 7.2948
Ba Te W
1 1 2
Cartesian
0.0000 0.0000 0.0000
1.6928 2.1154 2.2670
-0.0015 2.1154 4.4599
1.6924 0.0000 4.2032
```

Output
The formation energy (no corrections) comes out at 0.512 eV per atom. Its space group is No. 6. The calculation puts the density of states at the Fermi level at 3.4 states/eV per cell. The calculation puts the total magnetization at 0.3 μB per formula unit.

---

3.
Below is an optimized crystal structure of Ca2YIn3, with properties calculated at the GGA-PBE level.

Geometry as POSCAR:
```
Ca2YIn3
1.0
3.8359 0.0000 0.0000
0.0000 3.8359 0.0000
0.0000 0.0000 11.3710
Ca Y In
2 1 3
Cartesian
0.0000 0.0000 1.8923
0.0000 0.0000 9.4787
0.0000 0.0000 5.6855
1.9180 1.9180 0.0000
1.9180 1.9180 3.8546
1.9180 1.9180 7.5163
```

Output
Its space group is No. 123. The value obtained for the total energy is -3.59 eV/atom. The calculation puts the density of states at the Fermi level at 4.0 states/eV per cell. The calculation puts the total magnetization at 0.0 μB per formula unit.